1.
Rb2InTc2 | PBE | relaxed

Cell: 10.543 10.543 2.862 Å, 90.00 90.00 90.00°
Site moments in Bohr magnetons follow the coordinates.
Atoms (fractional coordinates):
Tc 0.822 0.322 0.500  2.17
Tc 0.678 0.822 0.500  2.18
Tc 0.178 0.678 0.500  2.17
Tc 0.322 0.178 0.500  2.18
Rb 0.877 0.623 0.000  0.01
Rb 0.623 0.123 0.000  0.01
Rb 0.123 0.377 0.000  0.01
Rb 0.377 0.877 0.000  0.01
In 0.500 0.500 0.000  -0.05
In 0.000 0.000 0.000  -0.05

Results
space-group type = P4/mbm, No. 127



2.
RbInTc2 | PBE | relaxed

Cell: 8.252 8.252 6.466 Å, 50.35 50.35 90.00°
Site moments in Bohr magnetons follow the coordinates.
Atoms (fractional coordinates):
Rb 0.250 0.750 0.500  0.00
Rb 0.500 0.500 0.000  0.00
In 0.750 0.250 0.500  -0.04
In 0.000 0.000 0.000  -0.04
Tc 0.081 0.625 0.250  0.91
Tc 0.375 0.331 0.750  0.94
Tc 0.669 0.125 0.250  0.93
Tc 0.875 0.919 0.750  0.92

Results
space-group type = I-42d, No. 122



3.
RbIn2Tc | PBE | relaxed

Cell: 6.406 6.406 9.471 Å, 70.23 70.23 90.00°
Site moments in Bohr magnetons follow the coordinates.
Atoms (fractional coordinates):
In 0.875 0.625 0.250  -0.05
In 0.875 0.125 0.250  -0.05
In 0.375 0.125 0.750  -0.06
In 0.875 0.125 0.750  -0.04
Tc 0.750 0.250 0.500  1.27
Tc 0.000 0.000 0.000  1.28
Rb 0.500 0.500 0.000  0.00
Rb 0.250 0.750 0.500  0.00

Results
space-group type = I4_1/amd, No. 141



Number 1: total DFT energy (no corrections) -3.243 eV per atom, formation energy from the elements 9.2 eV per formula unit. Number 2: total DFT energy (no corrections) -4.367 eV per atom, formation energy from the elements 7.0 eV per formula unit. Number 3: total DFT energy (no corrections) -3.544 eV per atom, formation energy from the elements 2.6 eV per formula unit.